Entry 1:
First-principles (PBE-GGA) data for TcNi2H after structural relaxation, as listed in Alexandria via LeMat-Bulk.

Values from the calculation:
space-group type	Fm-3m
crystal system	cubic
E	-5.505	eV per atom
D(E_F)	0.56	states/eV/atom
calculated density	8.12	Mg/m³
energy relative to the lowest polymorph listed for this composition	810	meV/atom

Cell lengths 3.9703, 3.9703, 3.9703 Å; angles 60.00, 60.00, 60.00 degrees
Element x y z (fractional)
Tc  0.5000  0.5000  0.5000
Ni  0.2500  0.2500  0.2500
Ni  0.7500  0.7500  0.7500
H  0.0000  0.0000  0.0000

***

Entry 2:
First-principles (PBE-GGA) data for Tc2NiH2 after structural relaxation, as listed in Alexandria via LeMat-Bulk.

Values from the calculation:
space-group type	P4/mbm
crystal system	tetragonal
E	-6.425	eV per atom
D(E_F)	0.52	states/eV/atom
calculated density	9.35	Mg/m³
energy relative to the lowest polymorph listed for this composition	65	meV/atom

Cell lengths 5.6178, 5.6178, 2.8903 Å; angles 90.00, 90.00, 90.00 degrees
Element x y z (fractional)
H  0.8177  0.6823  0.0000
Ni  0.5000  0.5000  0.0000
Tc  0.8529  0.3529  0.5000
Tc  0.3529  0.1471  0.5000
H  0.1823  0.3177  0.0000
H  0.6823  0.1823  0.0000
Ni  0.0000  0.0000  0.0000
Tc  0.6471  0.8529  0.5000
H  0.3177  0.8177  0.0000
Tc  0.1471  0.6471  0.5000

***

Entry 3:
First-principles (PBE-GGA) data for Tc2NiH after structural relaxation, as listed in Alexandria via LeMat-Bulk.

Values from the calculation:
space-group type	I-42d
crystal system	tetragonal
E	-7.204	eV per atom
D(E_F)	0.68	states/eV/atom
calculated density	9.69	Mg/m³
energy relative to the lowest polymorph listed for this composition	0	meV/atom

Cell lengths 5.8599, 5.8599, 4.8664 Å; angles 52.98, 52.98, 90.00 degrees
Element x y z (fractional)
H  0.5000  0.5000  0.0000
Tc  0.3750  0.4608  0.7500
Ni  0.0000  0.0000  0.0000
H  0.2500  0.7500  0.5000
Tc  0.8750  0.7892  0.7500
Tc  0.5392  0.1250  0.2500
Ni  0.7500  0.2500  0.5000
Tc  0.2108  0.6250  0.2500

***

Entry 4:
First-principles (PBE-GGA) data for Tc2NiH after structural relaxation, as listed in Alexandria via LeMat-Bulk.

Values from the calculation:
space-group type	R-3m
crystal system	trigonal
E	-7.028	eV per atom
D(E_F)	0.77	states/eV/atom
calculated density	9.08	Mg/m³
energy relative to the lowest polymorph listed for this composition	175	meV/atom

Cell lengths 2.7564, 2.7564, 7.2817 Å; angles 79.09, 79.09, 60.00 degrees
Element x y z (fractional)
Tc  0.1155  0.1155  0.6535
Tc  0.8845  0.8845  0.3465
Ni  0.0000  0.0000  0.0000
H  0.5000  0.5000  0.5000

***

Entry 5:
First-principles (PBE-GGA) data for Tc2NiH after structural relaxation, as listed in Alexandria via LeMat-Bulk.

Values from the calculation:
space-group type	Fm-3m
crystal system	cubic
E	-6.835	eV per atom
D(E_F)	1.72	states/eV/atom
calculated density	9.31	Mg/m³
energy relative to the lowest polymorph listed for this composition	369	meV/atom

Cell lengths 4.0104, 4.0104, 4.0104 Å; angles 60.00, 60.00, 60.00 degrees
Element x y z (fractional)
H  0.0000  0.0000  0.0000
Tc  0.2500  0.2500  0.2500
Tc  0.7500  0.7500  0.7500
Ni  0.5000  0.5000  0.5000

***

Entry 6:
First-principles (PBE-GGA) data for Tc2NiH2 after structural relaxation, as listed in Alexandria via LeMat-Bulk.

Values from the calculation:
space-group type	I4/mmm
crystal system	tetragonal
E	-6.490	eV per atom
D(E_F)	0.53	states/eV/atom
calculated density	9.30	Mg/m³
energy relative to the lowest polymorph listed for this composition	0	meV/atom

Cell lengths 3.0448, 3.0448, 5.3943 Å; angles 73.61, 73.61, 90.00 degrees
Element x y z (fractional)
H  0.7500  0.2500  0.5000
Tc  0.3605  0.3605  0.2789
Tc  0.6395  0.6395  0.7211
H  0.2500  0.7500  0.5000
Ni  0.0000  0.0000  0.0000

***

Entry 7:
First-principles (PBE-GGA) data for Tc3NiH after structural relaxation, as listed in Alexandria via LeMat-Bulk.

Values from the calculation:
space-group type	Pm-3m
crystal system	cubic
E	-5.798	eV per atom
D(E_F)	2.01	states/eV/atom
calculated density	6.78	Mg/m³
energy relative to the lowest polymorph listed for this composition	2164	meV/atom

Cell lengths 4.4239, 4.4239, 4.4239 Å; angles 90.00, 90.00, 90.00 degrees
Element x y z (fractional)
Ni  0.0000  0.0000  0.0000
Tc  0.0000  0.0000  0.5000
H  0.5000  0.5000  0.5000
Tc  0.0000  0.5000  0.0000
Tc  0.5000  0.0000  0.0000

***

Entry 8:
First-principles (PBE-GGA) data for Tc5Ni3H12 after structural relaxation, as listed in Alexandria via LeMat-Bulk.

Values from the calculation:
space-group type	Ia-3d
crystal system	cubic
E	-5.222	eV per atom
D(E_F)	0.82	states/eV/atom
calculated density	7.80	Mg/m³

Cell lengths 9.0857, 9.0857, 9.0857 Å; angles 109.47, 109.47, 109.47 degrees
Last column: magnetic moment on the atom in μB.
Element x y z (fractional)
Tc  0.3750  0.2500  0.1250  0.13
Tc  0.0000  0.5000  0.5000  0.08
H  0.3366  0.7670  0.4130  0.00
H  0.5764  0.6460  0.4130  0.00
Tc  0.5000  0.5000  0.5000  0.08
Tc  0.2500  0.8750  0.1250  0.13
H  0.1634  0.0870  0.7330  0.00
H  0.0870  0.1634  0.2330  0.00
H  0.6460  0.5764  0.9130  0.00
Ni  0.1250  0.8750  0.7500  0.04
H  0.8540  0.5870  0.9236  0.00
H  0.4130  0.2670  0.3366  0.00
Tc  0.1250  0.7500  0.3750  0.13
H  0.0696  0.4236  0.8366  0.00
Tc  0.7500  0.6250  0.3750  0.13
Tc  0.3750  0.1250  0.7500  0.13
H  0.3540  0.4236  0.0870  0.00
H  0.7330  0.1460  0.0696  0.00
H  0.9236  0.0870  0.8540  0.00
Tc  0.0000  0.0000  0.5000  0.08
H  0.9236  0.8366  0.5696  0.00
Ni  0.8750  0.1250  0.2500  0.04
H  0.3366  0.5696  0.4236  0.00
H  0.2330  0.6634  0.0870  0.00
H  0.1634  0.0764  0.9304  0.00
Ni  0.6250  0.2500  0.3750  0.04
Ni  0.3750  0.7500  0.6250  0.04
H  0.2670  0.8540  0.9304  0.00
H  0.5696  0.3366  0.9236  0.00
H  0.4304  0.7670  0.8540  0.00
Tc  0.1250  0.3750  0.2500  0.13
H  0.4236  0.3540  0.5870  0.00
H  0.1460  0.4130  0.0764  0.00
H  0.0764  0.1634  0.4304  0.00
Ni  0.7500  0.3750  0.1250  0.04
Tc  0.6250  0.8750  0.2500  0.13
H  0.6634  0.2330  0.5870  0.00
H  0.5764  0.9304  0.6634  0.00
H  0.8366  0.9236  0.0696  0.00
H  0.5870  0.7330  0.6634  0.00
H  0.8540  0.2670  0.4304  0.00
H  0.5870  0.8540  0.4236  0.00
Ni  0.2500  0.6250  0.8750  0.04
H  0.8366  0.9130  0.2670  0.00
Tc  0.7500  0.1250  0.8750  0.13
H  0.7670  0.3366  0.9130  0.00
Tc  0.8750  0.2500  0.6250  0.13
H  0.3540  0.9304  0.7670  0.00
H  0.9130  0.0764  0.6460  0.00
Tc  0.0000  0.5000  0.0000  0.08
H  0.0764  0.9130  0.1460  0.00
H  0.2330  0.5696  0.6460  0.00
Tc  0.8750  0.6250  0.7500  0.13
Tc  0.0000  0.0000  0.0000  0.08
Ni  0.6250  0.3750  0.7500  0.04
Ni  0.3750  0.6250  0.2500  0.04
Ni  0.7500  0.8750  0.6250  0.04
H  0.1460  0.7330  0.5696  0.00
H  0.6460  0.0696  0.2330  0.00
H  0.0696  0.6460  0.7330  0.00
Tc  0.5000  0.0000  0.5000  0.08
Ni  0.1250  0.2500  0.8750  0.04
H  0.7670  0.4304  0.3540  0.00
Ni  0.2500  0.1250  0.3750  0.04
H  0.7330  0.5870  0.1634  0.00
H  0.9304  0.5764  0.1634  0.00
H  0.4236  0.0696  0.3366  0.00
Tc  0.5000  0.0000  0.0000  0.08
H  0.0870  0.9236  0.3540  0.00
Tc  0.2500  0.3750  0.6250  0.13
H  0.4130  0.1460  0.5764  0.00
H  0.4304  0.6634  0.0764  0.00
Tc  0.6250  0.7500  0.8750  0.13
Tc  0.5000  0.5000  0.0000  0.08
Ni  0.8750  0.7500  0.1250  0.04
H  0.5696  0.2330  0.1460  0.00
H  0.9130  0.8366  0.7670  0.00
H  0.2670  0.4130  0.8366  0.00
H  0.6634  0.4304  0.5764  0.00
H  0.9304  0.3540  0.2670  0.00

***

Entry 9:
First-principles (PBE-GGA) data for TcNi2H after structural relaxation, as listed in Alexandria via LeMat-Bulk.

Values from the calculation:
space-group type	R3m
crystal system	trigonal
E	-6.315	eV per atom
D(E_F)	0.84	states/eV/atom
calculated density	9.31	Mg/m³
energy relative to the lowest polymorph listed for this composition	0	meV/atom

Cell lengths 2.6506, 2.6506, 6.5271 Å; angles 78.29, 78.29, 60.00 degrees
Element x y z (fractional)
Ni  0.2768  0.2768  0.1696
Tc  0.5003  0.5003  0.4991
Ni  0.0571  0.0571  0.8286
H  0.6658  0.6658  0.0026

***

Entry 10:
First-principles (PBE-GGA) data for TiTc2NiH after structural relaxation, as listed in Alexandria via LeMat-Bulk.

Values from the calculation:
space-group type	P4/mmm
crystal system	tetragonal
E	-7.703	eV per atom
D(E_F)	0.99	states/eV/atom
calculated density	8.66	Mg/m³
energy relative to the lowest polymorph listed for this composition	5	meV/atom

Cell lengths 3.8292, 3.8292, 3.9697 Å; angles 90.00, 90.00, 90.00 degrees
Element x y z (fractional)
Tc  0.0000  0.5000  0.0000
Tc  0.5000  0.0000  0.0000
Ni  0.5000  0.5000  0.5000
H  0.0000  0.0000  0.0000
Ti  0.0000  0.0000  0.5000

***

Entry 11:
First-principles (PBE-GGA) data for TiTcNi2H after structural relaxation, as listed in Alexandria via LeMat-Bulk.

Values from the calculation:
space-group type	P4/mmm
crystal system	tetragonal
E	-6.884	eV per atom
D(E_F)	0.95	states/eV/atom
calculated density	8.19	Mg/m³
energy relative to the lowest polymorph listed for this composition	0	meV/atom

Cell lengths 3.6744, 3.6744, 3.9671 Å; angles 90.00, 90.00, 90.00 degrees
Element x y z (fractional)
Ti  0.5000  0.5000  0.5000
Ni  0.0000  0.5000  0.0000
Tc  0.0000  0.0000  0.5000
Ni  0.5000  0.0000  0.0000
H  0.0000  0.0000  0.0000

***

Entry 12:
First-principles (PBE-GGA) data for TiTcNi2H after structural relaxation, as listed in Alexandria via LeMat-Bulk.

Values from the calculation:
space-group type	P4/mmm
crystal system	tetragonal
E	-6.846	eV per atom
D(E_F)	0.98	states/eV/atom
calculated density	8.47	Mg/m³
energy relative to the lowest polymorph listed for this composition	38	meV/atom

Cell lengths 3.5979, 3.5979, 4.0007 Å; angles 90.00, 90.00, 90.00 degrees
Element x y z (fractional)
H  0.0000  0.0000  0.0000
Ti  0.0000  0.0000  0.5000
Ni  0.0000  0.5000  0.0000
Ni  0.5000  0.0000  0.0000
Tc  0.5000  0.5000  0.5000